(1)
Below is crystalline ZrAs2Au at its relaxed geometry, with properties calculated at the PBE level.

Unit cell a=6.7337 b=6.7337 c=6.7337 alpha=90.00 beta=90.00 gamma=90.00
Space group Fm-3m (No. 225)
Inequivalent atoms, fractional coordinates:
Zr: 0.0000 0.0000 0.0000 (multiplicity 4)
As: 0.2500 0.2500 0.2500 (multiplicity 8)
Au: 0.0000 0.0000 0.5000 (multiplicity 4)

Values from the calculation:
- Formation energy from the elements: -0.201 eV per atom
- E_tot: -5.482 eV/atom

(2)
Below is crystalline TaHgMo at its relaxed geometry, with properties calculated at the PBE level.

Unit cell a=2.7879 b=4.3723 c=8.9166 alpha=90.00 beta=90.00 gamma=90.00
Space group Imm2 (No. 44)
Inequivalent atoms, fractional coordinates:
Ta: 0.0000 0.0000 0.0000 (multiplicity 2)
Hg: 0.0000 0.0000 0.6716 (multiplicity 2)
Mo: 0.0000 0.0000 0.3395 (multiplicity 2)

Values from the calculation:
- Formation energy from the elements: 0.419 eV per atom
- Energy relative to the lowest polymorph listed for this composition: 0.110 eV/atom
- E_tot: -7.243 eV/atom